The following is a DFT calculation (PBE) of crystalline YEr2Th3Se6 at its relaxed geometry.

Unit cell a=6.8974 b=6.8974 c=7.5859 alpha=98.71 beta=98.71 gamma=119.77
Atoms (fractional coordinates):
1 Y 0.0000 0.0000 0.0000
2 Er 0.3330 0.6670 0.0000
3 Er 0.6670 0.3330 0.0000
4 Th 0.1652 0.8348 0.5000
5 Th 0.5000 0.5000 0.5000
6 Th 0.8348 0.1652 0.5000
7 Se 0.0773 0.4135 0.2316
8 Se 0.2597 0.2597 0.7701
9 Se 0.4135 0.0773 0.2316
10 Se 0.5865 0.9227 0.7684
11 Se 0.7403 0.7403 0.2299
12 Se 0.9227 0.5865 0.7684

Properties
crystal system = monoclinic
symmetry = No. 12
formation energy without anion corrections = -1.625 eV/atom
uncorrected energy = -78.26 eV for the cell shown
total magnetization = 0.00 μB per formula unit